Entry 1:
Computed, not measured: crystalline K2TaTl3Te6 at its relaxed geometry at the PBE-GGA level of DFT.

Cell: 8.730 8.730 7.762 Å, 99.61 99.61 123.93°
Sites, in units of the cell vectors:
Te (0.337, 0.077, 0.226)
Te (0.229, 0.229, 0.800)
Te (0.923, 0.663, 0.774)
Te (0.771, 0.771, 0.200)
Te (0.663, 0.923, 0.774)
Te (0.077, 0.337, 0.226)
Tl (0.129, 0.871, 0.500)
Tl (0.500, 0.500, 0.500)
Tl (0.871, 0.129, 0.500)
K (0.321, 0.679, 0.000)
K (0.679, 0.321, 0.000)
Ta (0.000, 0.000, 0.000)

Properties
Formation energy from raw total energies (eV/atom): -0.43
Space-group type: C2/m (12)
Total DFT energy (no corrections) (eV for the cell shown): -45.188

***

Entry 2:
Computed, not measured: crystalline K2TaTeW at its relaxed geometry at the PBE-GGA level of DFT.

Cell: 6.348 4.752 6.348 Å, 90.00 90.00 90.00°
Last column: magnetic moment on the atom in μB.
Sites, in units of the cell vectors:
K (0.000, 0.000, 0.500)  0.01
K (0.500, 0.000, 0.000)  0.01
W (0.000, 0.000, 0.000)  1.19
Ta (0.000, 0.500, 0.000)  -0.54
Te (0.500, 0.500, 0.500)  0.16

Properties
Formation energy from raw total energies (eV/atom): 1.49
Space-group type: P4/mmm (123)
Total DFT energy (no corrections) (eV for the cell shown): -22.707

***

Entry 3:
Computed, not measured: crystalline KTa3Ti at its relaxed geometry at the PBE-GGA level of DFT.

Cell: 4.639 4.639 4.639 Å, 90.00 90.00 90.00°
Sites, in units of the cell vectors:
K (0.000, 0.000, 0.000)
Ta (0.000, 0.500, 0.000)
Ta (0.000, 0.000, 0.500)
Ta (0.500, 0.000, 0.000)
Ti (0.500, 0.500, 0.500)

Properties
Space-group type: Pm-3m (221)
Excess energy over the best structure of this formula in the dataset (meV per atom): 1062.1
Calculated formation energy (eV per atom): 2.7906
Total DFT energy (no corrections) (eV for the cell shown): -30.597

***

Entry 4:
Computed, not measured: crystalline KTaTi2 at its relaxed geometry at the PBE-GGA level of DFT.

Cell: 5.443 5.443 9.483 Å, 73.32 73.32 90.00°
Sites, in units of the cell vectors:
K (0.250, 0.750, 0.500)
K (0.500, 0.500, 0.000)
Ti (0.876, 0.625, 0.250)
Ti (0.375, 0.126, 0.750)
Ti (0.875, 0.124, 0.750)
Ti (0.874, 0.125, 0.250)
Ta (0.000, 0.000, 0.000)
Ta (0.750, 0.250, 0.500)

Properties
Space-group type: I4_1/amd (141)
Excess energy over the best structure of this formula in the dataset (meV per atom): 451.1
Calculated formation energy (eV per atom): 1.6730
Total DFT energy (no corrections) (eV for the cell shown): -44.096

***

Entry 5:
Computed, not measured: crystalline KTaTi2 at its relaxed geometry at the PBE-GGA level of DFT.

Cell: 4.881 4.881 4.881 Å, 60.00 60.00 60.00°
Sites, in units of the cell vectors:
K (0.000, 0.000, 0.000)
Ti (0.250, 0.250, 0.250)
Ti (0.750, 0.750, 0.750)
Ta (0.500, 0.500, 0.500)

Properties
Space-group type: Fm-3m (225)
Excess energy over the best structure of this formula in the dataset (meV per atom): 0.0
Calculated formation energy (eV per atom): 1.2219
Total DFT energy (no corrections) (eV for the cell shown): -23.852

***

Entry 6:
Computed, not measured: crystalline K3TaTi at its relaxed geometry at the PBE-GGA level of DFT.

Cell: 6.648 6.648 6.648 Å, 90.00 90.00 90.00°
Last column: magnetic moment on the atom in μB.
Sites, in units of the cell vectors:
K (0.000, 0.000, 0.500)  0.05
K (0.000, 0.500, 0.000)  0.05
K (0.500, 0.000, 0.000)  0.05
Ta (0.000, 0.000, 0.000)  2.50
Ti (0.500, 0.500, 0.500)  2.07

Properties
Space-group type: Pm-3m (221)
Excess energy over the best structure of this formula in the dataset (meV per atom): 0.0
Calculated formation energy (eV per atom): 2.0419
Total DFT energy (no corrections) (eV for the cell shown): -12.830